1.
# TlInSb2Te

TlInSb2Te after structural relaxation (GGA-PBE, Alexandria).

Values from the calculation:
offset from the most stable computed form	1.08	eV per formula unit
DOS(E_F)	5.990	states/eV/f.u.
formation energy (no corrections)	0.66	eV per atom

Unit cell a=5.708 b=5.708 c=5.911 alpha=90.00 beta=90.00 gamma=90.00
Space group P4/mmm (No. 123)
Symmetry-distinct sites (fractional):
Tl: 0.000 0.000 0.000
In: 0.500 0.500 0.500
Sb: 0.000 0.500 0.000
Te: 0.000 0.000 0.500

2.
# LaSc2Al

LaSc2Al after structural relaxation (GGA-PBE, Alexandria).

Values from the calculation:
DOS(E_F)	5.514	states/eV/f.u.
energy relative to the elements	-0.11	eV per atom

Unit cell a=7.349 b=7.349 c=7.349 alpha=90.00 beta=90.00 gamma=90.00
Space group F-43m (No. 216)
Symmetry-distinct sites (fractional):
La: 0.000 0.000 0.000
Sc: 0.000 0.000 0.500
Sc: 0.250 0.250 0.750
Al: 0.250 0.250 0.250

3.
# AlP2PbBr

AlP2PbBr after structural relaxation (GGA-PBE, Alexandria).

Values from the calculation:
DOS(E_F)	2.482	states/eV/f.u.
formation energy (no corrections)	1.06	eV per atom

Unit cell a=5.189 b=5.189 c=6.304 alpha=90.00 beta=90.00 gamma=90.00
Space group P4/mmm (No. 123)
Symmetry-distinct sites (fractional):
Al: 0.000 0.000 0.000
P: 0.000 0.500 0.500
Pb: 0.000 0.000 0.500
Br: 0.500 0.500 0.000

4.
# La2CrCl

La2CrCl after structural relaxation (GGA-PBE, Alexandria).

Values from the calculation:
offset from the most stable computed form	0.19	eV per formula unit
DOS(E_F)	3.281	states/eV/f.u.
formation energy (no corrections)	-0.41	eV per atom

Unit cell a=4.988 b=3.571 c=11.742 alpha=90.00 beta=90.00 gamma=90.00
Space group Amm2 (No. 38)
Symmetry-distinct sites (fractional):
La: 0.000 0.000 0.000
La: 0.500 0.000 0.259
Cr: 0.500 0.000 0.508
Cl: 0.000 0.000 0.746

5.
# V2Pd5Au

V2Pd5Au after structural relaxation (GGA-PBE, Alexandria).

Values from the calculation:
offset from the most stable computed form	0.49	eV per formula unit
DOS(E_F)	7.632	states/eV/f.u.
energy relative to the elements	-0.13	eV per atom

Unit cell a=2.767 b=8.480 c=10.387 alpha=90.00 beta=90.00 gamma=90.00
Space group Immm (No. 71)
Symmetry-distinct sites (fractional):
V: 0.000 0.000 0.245
Pd: 0.000 0.000 0.500
Pd: 0.000 0.270 0.134
Au: 0.000 0.500 0.500

6.
# NdEu2Pt

NdEu2Pt after structural relaxation (GGA-PBE, Alexandria).

Values from the calculation:
DOS(E_F)	14.587	states/eV/f.u.
energy relative to the elements	-0.44	eV per atom

Unit cell a=3.652 b=3.652 c=9.204 alpha=90.00 beta=90.00 gamma=90.00
Space group P4/mmm (No. 123)
Symmetry-distinct sites (fractional):
Nd: 0.000 0.000 0.000
Eu: 0.500 0.500 0.315
Pt: 0.000 0.000 0.500

7.
# Ac3Sm4Se8

Ac3Sm4Se8 after structural relaxation (GGA-PBE, Alexandria).

Values from the calculation:
DOS(E_F)	7.432	states/eV/f.u.
formation energy (no corrections)	-1.86	eV per atom

Unit cell a=12.183 b=12.192 c=8.536 alpha=90.00 beta=134.43 gamma=90.00
Space group C2/m (No. 12)
Symmetry-distinct sites (fractional):
Ac: 0.000 0.000 0.000
Ac: 0.250 0.250 0.500
Sm: 0.000 0.500 0.000
Sm: 0.000 0.500 0.500
Sm: 0.250 0.250 0.000
Se: 0.000 0.254 0.500
Se: 0.000 0.257 0.000
Se: 0.238 0.500 0.487
Se: 0.241 0.500 0.994

8.
# PmBeCuPt2

PmBeCuPt2 after structural relaxation (GGA-PBE, Alexandria).

Values from the calculation:
DOS(E_F)	2.275	states/eV/f.u.
energy relative to the elements	-0.63	eV per atom

Unit cell a=3.960 b=3.960 c=11.198 alpha=90.00 beta=90.00 gamma=90.00
Space group I-4m2 (No. 119)
Symmetry-distinct sites (fractional):
Pm: 0.000 0.000 0.000
Be: 0.000 0.500 0.250
Cu: 0.000 0.500 0.750
Pt: 0.000 0.000 0.380

9.
# TaHg2B

TaHg2B after structural relaxation (GGA-PBE, Alexandria).

Values from the calculation:
DOS(E_F)	1.014	states/eV/f.u.
energy relative to the elements	0.89	eV per atom

Unit cell a=7.471 b=7.471 c=5.017 alpha=90.00 beta=90.00 gamma=90.00
Space group I-42d (No. 122)
Symmetry-distinct sites (fractional):
Ta: 0.000 0.000 0.000
Hg: 0.177 0.750 0.625
B: 0.000 0.000 0.500

10.
# TlTcHgGe2

TlTcHgGe2 after structural relaxation (GGA-PBE, Alexandria).

Values from the calculation:
offset from the most stable computed form	0.16	eV per formula unit
DOS(E_F)	1.966	states/eV/f.u.
energy relative to the elements	0.18	eV per atom

Unit cell a=4.813 b=4.813 c=5.464 alpha=90.00 beta=90.00 gamma=90.00
Space group P4/mmm (No. 123)
Symmetry-distinct sites (fractional):
Tl: 0.000 0.000 0.000
Tc: 0.500 0.500 0.500
Hg: 0.500 0.500 0.000
Ge: 0.000 0.500 0.500

11.
# AlBiSe3

AlBiSe3 after structural relaxation (GGA-PBE, Alexandria).

Values from the calculation:
offset from the most stable computed form	2.48	eV per formula unit
DOS(E_F)	3.623	states/eV/f.u.
formation energy (no corrections)	-0.12	eV per atom

Unit cell a=4.925 b=4.925 c=4.925 alpha=90.00 beta=90.00 gamma=90.00
Space group Pm-3m (No. 221)
Symmetry-distinct sites (fractional):
Al: 0.000 0.000 0.000
Bi: 0.500 0.500 0.500
Se: 0.000 0.000 0.500

12.
# KUHgBr6

KUHgBr6 after structural relaxation (GGA-PBE, Alexandria).

Values from the calculation:
formation energy (no corrections)	-1.22	eV per atom

Unit cell a=8.1654 b=8.1654 c=15.0003 alpha=90.00 beta=90.00 gamma=120.00
Space group P-31c (No. 163)
Symmetry-distinct sites (fractional):
K: 0.3333 0.6667 0.2500
U: 0.3333 0.6667 0.7500
Hg: 0.0000 0.0000 0.0000
Br: 0.0613 0.3986 0.6453